! CoHgW2 | Alexandria via LeMat-Bulk | PBE | relaxed; values from VASP
! energy of formation from the pure elements	0.608	eV/atom
! total magnetization	1.7	μB/f.u.
&SYSTEM
  ibrav = 0, nat = 4, ntyp = 3
/
ATOMIC_SPECIES
Co 58.93 Co.upf
W 183.84 W.upf
Hg 200.59 Hg.upf
CELL_PARAMETERS angstrom
5.062 -0.047 0.000
2.197 4.560 0.000
-3.629 -2.256 2.713
ATOMIC_POSITIONS angstrom
Co 2.531 -0.024 1.356
W 0.000 0.000 0.000
W 3.629 2.256 0.000
Hg 1.099 2.280 1.356


! CoHgW2 | Alexandria via LeMat-Bulk | PBE | relaxed; values from VASP
! energy of formation from the pure elements	0.951	eV/atom
! total magnetization	0.0	μB/f.u.
&SYSTEM
  ibrav = 0, nat = 8, ntyp = 3
/
ATOMIC_SPECIES
W 183.84 W.upf
Co 58.93 Co.upf
Hg 200.59 Hg.upf
CELL_PARAMETERS angstrom
-4.421 -5.073 -2.538
5.445 -4.697 -0.096
-0.065 -5.603 1.124
ATOMIC_POSITIONS angstrom
W 0.621 -8.112 -0.150
W 0.562 -12.505 -1.457
W 2.603 -5.236 -0.229
W -1.867 -4.893 -1.184
Co 0.512 -4.885 -1.317
Co 2.946 -7.593 -0.144
Hg 0.000 0.000 0.000
Hg -1.987 -7.780 -1.366


! CoHg2W | Alexandria via LeMat-Bulk | PBE | relaxed; values from VASP
! energy of formation from the pure elements	0.890	eV/atom
! total magnetization	1.1	μB/f.u.
&SYSTEM
  ibrav = 0, nat = 4, ntyp = 3
/
ATOMIC_SPECIES
W 183.84 W.upf
Co 58.93 Co.upf
Hg 200.59 Hg.upf
CELL_PARAMETERS angstrom
-2.079 0.100 2.091
-0.226 -4.844 0.006
3.457 -0.157 3.445
ATOMIC_POSITIONS angstrom
W 0.689 -0.029 2.768
Co 1.615 -2.501 1.725
Hg 0.000 0.000 0.000
Hg -1.153 -2.372 1.049


! CoHgW | Alexandria via LeMat-Bulk | PBE | relaxed; values from VASP
! energy of formation from the pure elements	0.490	eV/atom
! total magnetization	0.9	μB/f.u.
&SYSTEM
  ibrav = 0, nat = 12, ntyp = 3
/
ATOMIC_SPECIES
Hg 200.59 Hg.upf
Co 58.93 Co.upf
W 183.84 W.upf
CELL_PARAMETERS angstrom
5.796 0.000 0.006
0.000 3.029 0.000
-2.830 0.000 11.130
ATOMIC_POSITIONS angstrom
Hg -1.415 0.000 5.565
Hg 1.483 0.000 5.568
Hg 0.000 1.515 0.000
Hg 2.898 1.515 0.003
Co 3.024 1.515 7.624
Co -1.473 0.000 9.077
Co -0.058 1.515 3.512
Co 4.439 0.000 2.059
W 1.385 0.000 2.150
W 1.581 0.000 8.986
W -0.030 1.515 7.715
W 2.996 1.515 3.421


! CoHgW | Alexandria via LeMat-Bulk | PBE | relaxed; values from VASP
! energy of formation from the pure elements	0.513	eV/atom
! total magnetization	0.0	μB/f.u.
&SYSTEM
  ibrav = 0, nat = 9, ntyp = 3
/
ATOMIC_SPECIES
Hg 200.59 Hg.upf
W 183.84 W.upf
Co 58.93 Co.upf
CELL_PARAMETERS angstrom
-1.465 1.083 2.229
-1.065 -2.232 -1.475
9.454 -12.692 12.379
ATOMIC_POSITIONS angstrom
Hg 2.671 -5.395 6.235
Hg 0.851 -1.143 1.114
Hg 5.956 -10.731 9.127
W 8.358 -11.220 10.944
W 0.723 -2.781 3.686
W 4.008 -8.117 6.577
Co 8.029 -13.514 11.842
Co 2.925 -3.926 3.830
Co 4.744 -8.179 8.950


! CoHgW2 | Alexandria via LeMat-Bulk | PBE | relaxed; values from VASP
! energy of formation from the pure elements	0.585	eV/atom
! total magnetization	0.6	μB/f.u.
&SYSTEM
  ibrav = 0, nat = 4, ntyp = 3
/
ATOMIC_SPECIES
Co 58.93 Co.upf
W 183.84 W.upf
Hg 200.59 Hg.upf
CELL_PARAMETERS angstrom
-8.525 -3.714 1.685
-7.011 -6.083 1.776
-7.255 -4.480 4.075
ATOMIC_POSITIONS angstrom
Co -5.698 -3.569 1.884
W -11.611 -7.274 3.839
W -22.575 -14.143 7.465
Hg -17.093 -10.708 5.652


! CoHgW4 | Alexandria via LeMat-Bulk | PBE | relaxed; values from VASP
! energy of formation from the pure elements	0.855	eV/atom
! total magnetization	1.2	μB/f.u.
&SYSTEM
  ibrav = 0, nat = 6, ntyp = 3
/
ATOMIC_SPECIES
Hg 200.59 Hg.upf
W 183.84 W.upf
Co 58.93 Co.upf
CELL_PARAMETERS angstrom
0.000 3.733 3.733
3.733 0.000 3.733
3.733 3.733 0.000
ATOMIC_POSITIONS angstrom
Hg 0.000 0.000 0.000
W 4.667 4.667 4.667
W 4.667 2.798 2.798
W 2.798 2.798 4.667
W 2.798 4.667 2.798
Co 1.866 1.866 1.866


! CoHgW2 | Alexandria via LeMat-Bulk | PBE | relaxed; values from VASP
! energy of formation from the pure elements	0.589	eV/atom
! total magnetization	1.7	μB/f.u.
&SYSTEM
  ibrav = 0, nat = 4, ntyp = 3
/
ATOMIC_SPECIES
Co 58.93 Co.upf
Hg 200.59 Hg.upf
W 183.84 W.upf
CELL_PARAMETERS angstrom
3.842 0.000 0.000
0.000 3.839 0.000
0.000 0.000 4.258
ATOMIC_POSITIONS angstrom
Co 1.921 0.000 2.129
Hg 0.000 1.919 2.129
W 1.921 1.919 0.000
W 0.000 0.000 0.000


Which of these has the highest energy of formation from the pure elements? number 2


Which formula does entry 6 have? CoHgW2


Which of these has the lowest energy of formation from the pure elements? number 4


Which formula does entry 5 have? CoHgW